1.
Below is crystalline TaMnBi2O6 at its relaxed geometry, with properties calculated at the PBE with a Hubbard U level.

Structure (POSCAR):
```
TaMnBi2O6
1.0
5.749 0.000 0.013
0.000 5.801 0.000
0.070 0.000 8.175
O Ta Bi Mn
12 2 4 2
Direct
0.195 0.165 0.472
0.926 0.521 0.242
0.305 0.665 0.028
0.074 0.479 0.758
0.695 0.335 0.972
0.838 0.807 0.972
0.338 0.693 0.472
0.426 0.979 0.742
0.805 0.835 0.528
0.162 0.193 0.028
0.662 0.307 0.528
0.574 0.021 0.258
0.500 0.000 0.500
0.000 0.500 0.000
0.008 0.018 0.751
0.492 0.518 0.749
0.992 0.982 0.249
0.508 0.482 0.251
0.000 0.500 0.500
0.500 0.000 0.000
```

VASP energy, eV per atom: -7.3998

2.
Below is crystalline Tb2MnBiO6 at its relaxed geometry, with properties calculated at the PBE with a Hubbard U level.

Structure (POSCAR):
```
Tb2MnBiO6
1.0
-1.438 2.485 -4.644
1.848 -4.115 -2.774
-4.763 -2.302 0.243
Tb O Bi Mn
2 6 1 1
Direct
0.986 0.000 0.500
0.986 0.500 0.000
0.745 0.759 0.241
0.223 0.000 0.000
0.119 0.500 0.500
0.745 0.759 0.759
0.745 0.241 0.759
0.745 0.241 0.241
0.538 0.500 0.500
0.614 0.000 0.000
```

VASP energy, eV per atom: -7.2057

3.
Below is crystalline TbMnBi2O6 at its relaxed geometry, with properties calculated at the PBE with a Hubbard U level.

Structure (POSCAR):
```
TbMnBi2O6
1.0
6.033 0.223 -0.214
3.215 5.106 -0.223
2.905 1.667 4.839
O Tb Bi Mn
6 1 2 1
Direct
0.175 0.965 0.243
0.963 0.647 0.258
0.462 0.658 0.768
0.594 0.154 0.303
0.107 0.509 0.723
0.682 0.078 0.754
0.310 0.296 0.077
0.510 0.524 0.428
0.044 0.003 0.916
0.815 0.827 0.545
```

VASP energy, eV per atom: -6.8055

4.
Below is crystalline Mn2TcBiO6 at its relaxed geometry, with properties calculated at the PBE with a Hubbard U level.

Structure (POSCAR):
```
Mn2TcBiO6
1.0
-2.052 -2.819 4.285
-3.481 -4.199 -0.869
1.956 -5.443 0.915
Mn Bi Tc O
2 1 1 6
Direct
0.527 0.527 0.419
0.020 0.020 0.940
0.805 0.805 0.586
0.318 0.318 0.046
0.951 0.577 0.238
0.234 0.951 0.238
0.393 0.698 0.770
0.577 0.234 0.238
0.697 0.139 0.770
0.139 0.393 0.770
```

VASP energy, eV per atom: -7.2917

5.
Below is crystalline Mn2TcBiO8 at its relaxed geometry, with properties calculated at the PBE with a Hubbard U level.

Structure (POSCAR):
```
Mn2TcBiO8
1.0
-2.255 1.118 4.142
0.999 -4.517 1.437
5.500 1.998 2.456
O Mn Tc Bi
8 2 1 1
Direct
0.188 0.811 0.218
0.706 0.706 0.000
0.188 0.811 0.782
0.674 0.674 0.500
0.294 0.294 0.000
0.326 0.326 0.500
0.812 0.189 0.782
0.812 0.189 0.218
0.500 0.500 0.244
0.500 0.500 0.756
0.000 0.000 0.000
0.000 0.000 0.500
```

VASP energy, eV per atom: -7.0447

6.
Below is crystalline MnTcBi2O6 at its relaxed geometry, with properties calculated at the PBE with a Hubbard U level.

Structure (POSCAR):
```
MnTcBi2O6
1.0
-5.087 -0.944 2.053
0.585 -5.795 -1.217
3.152 -1.210 7.279
O Bi Tc Mn
12 4 2 2
Direct
0.318 0.714 0.432
0.815 0.827 0.537
0.384 0.953 0.740
0.685 0.327 0.963
0.884 0.547 0.240
0.116 0.453 0.760
0.185 0.173 0.463
0.182 0.214 0.068
0.818 0.786 0.932
0.682 0.286 0.568
0.315 0.673 0.037
0.616 0.047 0.260
0.489 0.444 0.237
0.511 0.556 0.763
0.011 0.944 0.263
0.989 0.056 0.737
0.500 0.000 0.500
0.000 0.500 0.000
0.500 0.000 0.000
0.000 0.500 0.500
```

VASP energy, eV per atom: -6.8643